# LaDyS2F2 | the Open Quantum Materials Database | PBE-GGA | relaxed
# Spin magnetization in μB/atom: 0.00
# E_tot in Ry/atom: -0.486
data_LaDyS2F2
_cell_length_a 3.873
_cell_length_b 3.873
_cell_length_c 6.892
_cell_angle_alpha 90.00
_cell_angle_beta 90.00
_cell_angle_gamma 90.00
_space_group_name_H-M_alt 'P 4 m m'
_space_group_IT_number 99
_space_group_name_Hall 'P 4 -2'
loop_
_atom_site_label
_atom_site_fract_x
_atom_site_fract_y
_atom_site_fract_z
_atom_site_occupancy
La1 0.000 0.000 0.000 1
Dy1 0.500 0.500 0.461 1
S1 0.000 0.000 0.576 1
S2 0.500 0.500 0.864 1
F1 0.000 0.500 0.238 1

# NaGd | the Open Quantum Materials Database | PBE-GGA | relaxed
# Spin magnetization in μB/atom: 0.00
# Energy above the lowest structure with this stoichiometry in eV/atom: 0.499
data_NaGd
_cell_length_a 5.0452
_cell_length_b 5.0452
_cell_length_c 5.6694
_cell_angle_alpha 90.00
_cell_angle_beta 90.00
_cell_angle_gamma 120.00
_space_group_name_H-M_alt 'P 63/m m c'
_space_group_IT_number 194
_space_group_name_Hall '-P 6c 2c'
loop_
_atom_site_label
_atom_site_fract_x
_atom_site_fract_y
_atom_site_fract_z
_atom_site_occupancy
Na1 0.0000 0.0000 0.0000 1
Gd1 0.3333 0.6667 0.2500 1

# Hf31AgO64 | the Open Quantum Materials Database | PBE-GGA | relaxed
# Spin magnetization in μB/atom: 0.01
# E_tot in Ry/atom: -0.731
data_Hf31AgO64
_cell_length_a 9.977
_cell_length_b 10.098
_cell_length_c 10.426
_cell_angle_alpha 89.91
_cell_angle_beta 89.86
_cell_angle_gamma 89.70
_space_group_name_H-M_alt 'P 1'
_space_group_IT_number 1
_space_group_name_Hall 'P 1'
loop_
_atom_site_label
_atom_site_fract_x
_atom_site_fract_y
_atom_site_fract_z
_atom_site_occupancy
Hf1 0.000 0.000 0.000 1
Hf2 0.000 0.000 0.502 1
Hf3 0.000 0.750 0.787 1
Hf4 0.002 0.500 0.001 1
Hf5 0.006 0.753 0.289 1
Hf6 0.228 0.245 0.536 1
Hf7 0.229 0.245 0.036 1
Hf8 0.231 0.493 0.252 1
Hf9 0.231 0.745 0.037 1
Hf10 0.231 0.995 0.750 1
Hf11 0.232 0.493 0.751 1
Hf12 0.232 0.744 0.537 1
Hf13 0.232 0.996 0.250 1
Hf14 0.499 0.244 0.785 1
Hf15 0.499 0.743 0.786 1
Hf16 0.499 0.993 0.001 1
Hf17 0.500 0.742 0.287 1
Hf18 0.500 0.994 0.500 1
Hf19 0.501 0.244 0.283 1
Hf20 0.501 0.490 0.002 1
Hf21 0.501 0.491 0.499 1
Hf22 0.726 0.247 0.040 1
Hf23 0.728 0.497 0.750 1
Hf24 0.729 0.248 0.533 1
Hf25 0.730 0.000 0.750 1
Hf26 0.730 0.749 0.032 1
Hf27 0.731 0.994 0.250 1
Hf28 0.732 0.749 0.538 1
Hf29 0.997 0.247 0.284 1
Hf30 0.998 0.249 0.787 1
Hf31 0.999 0.502 0.504 1
Ag1 0.744 0.516 0.250 1
O1 0.090 0.371 0.639 1
O2 0.091 0.120 0.148 1
O3 0.091 0.121 0.649 1
O4 0.091 0.371 0.137 1
O5 0.092 0.621 0.151 1
O6 0.092 0.621 0.651 1
O7 0.092 0.870 0.638 1
O8 0.093 0.872 0.137 1
O9 0.131 0.374 0.398 1
O10 0.137 0.373 0.898 1
O11 0.138 0.123 0.887 1
O12 0.138 0.124 0.387 1
O13 0.139 0.623 0.889 1
O14 0.139 0.873 0.899 1
O15 0.141 0.623 0.390 1
O16 0.141 0.874 0.400 1
O17 0.321 0.307 0.206 1
O18 0.324 0.307 0.703 1
O19 0.325 0.059 0.081 1
O20 0.325 0.059 0.581 1
O21 0.325 0.558 0.582 1
O22 0.326 0.808 0.206 1
O23 0.326 0.808 0.706 1
O24 0.328 0.560 0.083 1
O25 0.400 0.309 0.951 1
O26 0.400 0.310 0.452 1
O27 0.405 0.057 0.331 1
O28 0.405 0.057 0.831 1
O29 0.405 0.558 0.831 1
O30 0.405 0.559 0.331 1
O31 0.405 0.808 0.956 1
O32 0.407 0.807 0.456 1
O33 0.579 0.361 0.138 1
O34 0.590 0.372 0.649 1
O35 0.590 0.868 0.147 1
O36 0.591 0.122 0.637 1
O37 0.591 0.623 0.637 1
O38 0.592 0.873 0.649 1
O39 0.593 0.116 0.140 1
O40 0.598 0.618 0.142 1
O41 0.633 0.365 0.390 1
O42 0.637 0.120 0.900 1
O43 0.637 0.619 0.900 1
O44 0.638 0.368 0.885 1
O45 0.639 0.117 0.398 1
O46 0.639 0.867 0.387 1
O47 0.639 0.870 0.886 1
O48 0.641 0.618 0.404 1
O49 0.823 0.436 0.080 1
O50 0.824 0.182 0.206 1
O51 0.824 0.185 0.706 1
O52 0.824 0.435 0.581 1
O53 0.824 0.937 0.078 1
O54 0.825 0.935 0.581 1
O55 0.826 0.683 0.706 1
O56 0.828 0.715 0.204 1
O57 0.902 0.435 0.835 1
O58 0.904 0.185 0.956 1
O59 0.905 0.186 0.456 1
O60 0.905 0.935 0.831 1
O61 0.906 0.685 0.955 1
O62 0.907 0.687 0.455 1
O63 0.909 0.940 0.332 1
O64 0.911 0.438 0.330 1

# ZnAu3 | the Open Quantum Materials Database | PBE-GGA | relaxed
# E_tot in Ry/atom: -0.214
data_ZnAu3
_cell_length_a 16.886
_cell_length_b 5.714
_cell_length_c 5.707
_cell_angle_alpha 90.00
_cell_angle_beta 90.00
_cell_angle_gamma 90.00
_space_group_name_H-M_alt 'C m c e'
_space_group_IT_number 64
_space_group_name_Hall '-C 2ac 2'
loop_
_atom_site_label
_atom_site_fract_x
_atom_site_fract_y
_atom_site_fract_z
_atom_site_occupancy
Zn1 0.136 0.000 0.000 1
Au1 0.000 0.183 0.183 1
Au2 0.119 0.000 0.500 1
Au3 0.250 0.248 0.750 1

# ZrBeTcAs | the Open Quantum Materials Database | PBE-GGA | relaxed
# Spin magnetization in μB/atom: 0.00
# Energy above the lowest structure with this stoichiometry in eV/atom: 0.000
data_ZrBeTcAs
_cell_length_a 6.212
_cell_length_b 6.212
_cell_length_c 6.212
_cell_angle_alpha 90.00
_cell_angle_beta 90.00
_cell_angle_gamma 90.00
_space_group_name_H-M_alt 'F -4 3 m'
_space_group_IT_number 216
_space_group_name_Hall 'F -4 2 3'
loop_
_atom_site_label
_atom_site_fract_x
_atom_site_fract_y
_atom_site_fract_z
_atom_site_occupancy
Zr1 0.000 0.000 0.000 1
Be1 0.250 0.250 0.250 1
Tc1 0.000 0.000 0.500 1
As1 0.250 0.250 0.750 1

# ZnMo4PbC2 | the Open Quantum Materials Database | PBE-GGA | relaxed
# Spin magnetization in μB/atom: 0.00
# E_tot in Ry/atom: -0.604
data_ZnMo4PbC2
_cell_length_a 3.1519
_cell_length_b 3.1519
_cell_length_c 13.5414
_cell_angle_alpha 90.00
_cell_angle_beta 90.00
_cell_angle_gamma 120.00
_space_group_name_H-M_alt 'P -6 m 2'
_space_group_IT_number 187
_space_group_name_Hall 'P -6 2'
loop_
_atom_site_label
_atom_site_fract_x
_atom_site_fract_y
_atom_site_fract_z
_atom_site_occupancy
Zn1 0.0000 0.0000 0.0000 1
Mo1 0.0000 0.0000 0.3191 1
Mo2 0.6667 0.3333 0.1549 1
Pb1 0.6667 0.3333 0.5000 1
C1 0.3333 0.6667 0.2377 1

# Y2Cu2Pt | the Open Quantum Materials Database | PBE-GGA | relaxed
# Spin magnetization in μB/atom: 0.00
# E_tot in Ry/atom: -0.400
data_Y2Cu2Pt
_cell_length_a 3.767
_cell_length_b 3.767
_cell_length_c 13.387
_cell_angle_alpha 90.00
_cell_angle_beta 90.00
_cell_angle_gamma 90.00
_space_group_name_H-M_alt 'I 4/m m m'
_space_group_IT_number 139
_space_group_name_Hall '-I 4 2'
loop_
_atom_site_label
_atom_site_fract_x
_atom_site_fract_y
_atom_site_fract_z
_atom_site_occupancy
Y1 0.000 0.000 0.105 1
Cu1 0.000 0.500 0.250 1
Pt1 0.000 0.000 0.500 1

# GdTm2Ga3AgPd2 | the Open Quantum Materials Database | PBE-GGA | relaxed
# Spin magnetization in μB/atom: 0.00
# E_tot in Ry/atom: -0.348
data_GdTm2Ga3AgPd2
_cell_length_a 3.683
_cell_length_b 13.068
_cell_length_c 7.509
_cell_angle_alpha 90.00
_cell_angle_beta 90.00
_cell_angle_gamma 90.00
_space_group_name_H-M_alt 'A m m 2'
_space_group_IT_number 38
_space_group_name_Hall 'A 2 -2'
loop_
_atom_site_label
_atom_site_fract_x
_atom_site_fract_y
_atom_site_fract_z
_atom_site_occupancy
Gd1 0.000 0.000 0.000 1
Tm1 0.000 0.203 0.389 1
Ga1 0.500 0.000 0.323 1
Ga2 0.500 0.136 0.727 1
Ag1 0.000 0.000 0.590 1
Pd1 0.500 0.170 0.094 1

# Pr2SmTe3 | the Open Quantum Materials Database | PBE-GGA | relaxed
# Spin magnetization in μB/atom: 0.00
# E_tot in Ry/atom: -0.395
data_Pr2SmTe3
_cell_length_a 4.4959
_cell_length_b 4.4959
_cell_length_c 11.0391
_cell_angle_alpha 90.00
_cell_angle_beta 90.00
_cell_angle_gamma 120.00
_space_group_name_H-M_alt 'P -3 m 1'
_space_group_IT_number 164
_space_group_name_Hall '-P 3 2"'
loop_
_atom_site_label
_atom_site_fract_x
_atom_site_fract_y
_atom_site_fract_z
_atom_site_occupancy
Pr1 0.3333 0.6667 0.1685 1
Sm1 0.0000 0.0000 0.5000 1
Te1 0.0000 0.0000 0.0000 1
Te2 0.3333 0.6667 0.6611 1

# KP3Os4 | the Open Quantum Materials Database | PBE-GGA | relaxed
# Spin magnetization in μB/atom: 0.00
# E_tot in Ry/atom: -0.578
data_KP3Os4
_cell_length_a 3.8443
_cell_length_b 3.8443
_cell_length_c 33.9608
_cell_angle_alpha 90.00
_cell_angle_beta 90.00
_cell_angle_gamma 120.00
_space_group_name_H-M_alt 'R -3 m'
_space_group_IT_number 166
_space_group_name_Hall '-R 3 2"'
loop_
_atom_site_label
_atom_site_fract_x
_atom_site_fract_y
_atom_site_fract_z
_atom_site_occupancy
K1 0.0000 0.0000 0.0000 1
P1 0.0000 0.0000 0.2616 1
P2 0.0000 0.0000 0.5000 1
Os1 0.0000 0.0000 0.1929 1
Os2 0.0000 0.0000 0.4236 1

# Zr2SI3 | the Open Quantum Materials Database | PBE-GGA | relaxed
# Spin magnetization in μB/atom: 0.00
# E_tot in Ry/atom: -0.392
data_Zr2SI3
_cell_length_a 3.812
_cell_length_b 6.890
_cell_length_c 15.145
_cell_angle_alpha 90.00
_cell_angle_beta 90.00
_cell_angle_gamma 90.00
_space_group_name_H-M_alt 'P m n 21'
_space_group_IT_number 31
_space_group_name_Hall 'P 2ac -2'
loop_
_atom_site_label
_atom_site_fract_x
_atom_site_fract_y
_atom_site_fract_z
_atom_site_occupancy
Zr1 0.000 0.031 0.000 1
Zr2 0.000 0.590 0.491 1
S1 0.000 0.870 0.600 1
I1 0.000 0.202 0.385 1
I2 0.000 0.302 0.851 1
I3 0.000 0.635 0.104 1

# HfInB | the Open Quantum Materials Database | PBE-GGA | relaxed
# Spin magnetization in μB/atom: 0.00
# Energy above the lowest structure with this stoichiometry in eV/atom: 0.000
data_HfInB
_cell_length_a 5.853
_cell_length_b 5.853
_cell_length_c 5.853
_cell_angle_alpha 90.00
_cell_angle_beta 90.00
_cell_angle_gamma 90.00
_space_group_name_H-M_alt 'F -4 3 m'
_space_group_IT_number 216
_space_group_name_Hall 'F -4 2 3'
loop_
_atom_site_label
_atom_site_fract_x
_atom_site_fract_y
_atom_site_fract_z
_atom_site_occupancy
Hf1 0.000 0.000 0.000 1
In1 0.000 0.000 0.500 1
B1 0.250 0.250 0.250 1

# Cu2Ag3 | the Open Quantum Materials Database | PBE-GGA | relaxed
# Energy above the lowest structure with this stoichiometry in eV/atom: 0.049
data_Cu2Ag3
_cell_length_a 11.723
_cell_length_b 2.856
_cell_length_c 9.433
_cell_angle_alpha 90.00
_cell_angle_beta 99.16
_cell_angle_gamma 90.00
_space_group_name_H-M_alt 'C 1 2/m 1'
_space_group_IT_number 12
_space_group_name_Hall '-C 2y'
loop_
_atom_site_label
_atom_site_fract_x
_atom_site_fract_y
_atom_site_fract_z
_atom_site_occupancy
Cu1 0.113 0.000 0.318 1
Cu2 0.207 0.000 0.590 1
Ag1 0.000 0.000 0.000 1
Ag2 0.000 0.500 0.500 1
Ag3 0.092 0.500 0.785 1
Ag4 0.202 0.500 0.114 1

# Li6MgPd | the Open Quantum Materials Database | PBE-GGA | relaxed
# E_tot in Ry/atom: -0.177
data_Li6MgPd
_cell_length_a 4.424
_cell_length_b 4.424
_cell_length_c 6.521
_cell_angle_alpha 90.00
_cell_angle_beta 90.00
_cell_angle_gamma 90.00
_space_group_name_H-M_alt 'P 4/m m m'
_space_group_IT_number 123
_space_group_name_Hall '-P 4 2'
loop_
_atom_site_label
_atom_site_fract_x
_atom_site_fract_y
_atom_site_fract_z
_atom_site_occupancy
Li1 0.000 0.000 0.000 1
Li2 0.000 0.500 0.221 1
Li3 0.500 0.500 0.500 1
Mg1 0.000 0.000 0.500 1
Pd1 0.500 0.500 0.000 1

# Zr4ZnCu | the Open Quantum Materials Database | PBE-GGA | relaxed
# Spin magnetization in μB/atom: 0.00
# E_tot in Ry/atom: -0.491
data_Zr4ZnCu
_cell_length_a 3.233
_cell_length_b 3.233
_cell_length_c 11.392
_cell_angle_alpha 90.00
_cell_angle_beta 90.00
_cell_angle_gamma 90.00
_space_group_name_H-M_alt 'P 4/m m m'
_space_group_IT_number 123
_space_group_name_Hall '-P 4 2'
loop_
_atom_site_label
_atom_site_fract_x
_atom_site_fract_y
_atom_site_fract_z
_atom_site_occupancy
Zr1 0.000 0.000 0.151 1
Zr2 0.500 0.500 0.341 1
Zn1 0.000 0.000 0.500 1
Cu1 0.500 0.500 0.000 1

# Ag5HgSbO6 | the Open Quantum Materials Database | PBE-GGA | relaxed
# E_tot in Ry/atom: -0.309
data_Ag5HgSbO6
_cell_length_a 5.9500
_cell_length_b 5.9500
_cell_length_c 12.4213
_cell_angle_alpha 90.00
_cell_angle_beta 90.00
_cell_angle_gamma 120.00
_space_group_name_H-M_alt 'P -3 1 c'
_space_group_IT_number 163
_space_group_name_Hall '-P 3 2c'
loop_
_atom_site_label
_atom_site_fract_x
_atom_site_fract_y
_atom_site_fract_z
_atom_site_occupancy
Ag1 0.0000 0.0000 0.1163 1
Ag2 0.0000 0.5000 0.0000 1
Hg1 0.3333 0.6667 0.2500 1
Sb1 0.3333 0.6667 0.7500 1
O1 0.0455 0.3927 0.8420 1

# ThBeTe | the Open Quantum Materials Database | PBE-GGA | relaxed
# Spin magnetization in μB/atom: 0.00
# Energy above the lowest structure with this stoichiometry in eV/atom: 0.000
data_ThBeTe
_cell_length_a 6.598
_cell_length_b 6.598
_cell_length_c 6.598
_cell_angle_alpha 90.00
_cell_angle_beta 90.00
_cell_angle_gamma 90.00
_space_group_name_H-M_alt 'F -4 3 m'
_space_group_IT_number 216
_space_group_name_Hall 'F -4 2 3'
loop_
_atom_site_label
_atom_site_fract_x
_atom_site_fract_y
_atom_site_fract_z
_atom_site_occupancy
Th1 0.000 0.000 0.000 1
Be1 0.250 0.250 0.750 1
Te1 0.000 0.000 0.500 1

# HfMg2ZrAl2Ir2 | the Open Quantum Materials Database | PBE-GGA | relaxed
# Spin magnetization in μB/atom: 0.00
# E_tot in Ry/atom: -0.455
data_HfMg2ZrAl2Ir2
_cell_length_a 4.554
_cell_length_b 4.554
_cell_length_c 6.448
_cell_angle_alpha 90.00
_cell_angle_beta 90.00
_cell_angle_gamma 90.00
_space_group_name_H-M_alt 'P -4 m 2'
_space_group_IT_number 115
_space_group_name_Hall 'P -4 -2'
loop_
_atom_site_label
_atom_site_fract_x
_atom_site_fract_y
_atom_site_fract_z
_atom_site_occupancy
Hf1 0.000 0.000 0.000 1
Mg1 0.000 0.500 0.750 1
Zr1 0.500 0.500 0.500 1
Al1 0.000 0.500 0.249 1
Ir1 0.000 0.000 0.500 1
Ir2 0.500 0.500 0.000 1

# BeNiSbPt | the Open Quantum Materials Database | PBE-GGA | relaxed
# Spin magnetization in μB/atom: 0.00
# Energy above the lowest structure with this stoichiometry in eV/atom: 0.000
data_BeNiSbPt
_cell_length_a 6.140
_cell_length_b 6.140
_cell_length_c 6.140
_cell_angle_alpha 90.00
_cell_angle_beta 90.00
_cell_angle_gamma 90.00
_space_group_name_H-M_alt 'F -4 3 m'
_space_group_IT_number 216
_space_group_name_Hall 'F -4 2 3'
loop_
_atom_site_label
_atom_site_fract_x
_atom_site_fract_y
_atom_site_fract_z
_atom_site_occupancy
Be1 0.000 0.000 0.000 1
Ni1 0.250 0.250 0.750 1
Sb1 0.000 0.000 0.500 1
Pt1 0.250 0.250 0.250 1

# YErPt | the Open Quantum Materials Database | PBE-GGA | relaxed
# Spin magnetization in μB/atom: 0.01
# Energy above the lowest structure with this stoichiometry in eV/atom: 0.023
data_YErPt
_cell_length_a 7.091
_cell_length_b 4.754
_cell_length_c 8.775
_cell_angle_alpha 90.00
_cell_angle_beta 90.00
_cell_angle_gamma 90.00
_space_group_name_H-M_alt 'P n m a'
_space_group_IT_number 62
_space_group_name_Hall '-P 2ac 2n'
loop_
_atom_site_label
_atom_site_fract_x
_atom_site_fract_y
_atom_site_fract_z
_atom_site_occupancy
Y1 0.145 0.250 0.081 1
Er1 0.010 0.250 0.667 1
Pt1 0.236 0.250 0.406 1